i:
## Sc2TcNi (PBE)

Data for an optimized crystal structure of Sc2TcNi.

Properties
magnetization	0.001	μB per cell
calculated volume	67	Å³ per cell

Cell and atoms, written as extended XYZ:
```
4
Lattice="-1.639 2.175 4.707 1.639 -2.175 4.707 1.639 2.175 -4.707" Properties=species:S:1:pos:R:3 pbc="T T T"
Sc 0.000 0.000 0.000
Sc 0.000 2.175 2.108
Tc 1.639 0.000 2.414
Ni 0.000 0.000 4.476
```

ii:
## Sc2TcNi (PBE)

Data for an optimized crystal structure of Sc2TcNi.

Properties
magnetization	0.000	μB per cell
calculated volume	69	Å³ per cell

Cell and atoms, written as extended XYZ:
```
4
Lattice="1.589 0.918 7.904 -1.589 0.918 7.904 0.000 -1.835 7.904" Properties=species:S:1:pos:R:3 pbc="T T T"
Sc 0.000 0.000 5.927
Sc 0.000 0.000 17.784
Tc 0.000 0.000 0.000
Ni 0.000 0.000 11.856
```

What should be chosen as the most stable of them? Choose i.

i:
## Sc2TcNi (PBE)

Data for an optimized crystal structure of Sc2TcNi.

Properties
magnetization	0.000	μB per cell
calculated volume	66	Å³ per cell

Cell and atoms, written as extended XYZ:
```
4
Lattice="0.000 3.202 3.202 3.202 0.000 3.202 3.202 3.202 0.000" Properties=species:S:1:pos:R:3 pbc="T T T"
Sc 1.601 1.601 1.601
Sc 4.803 4.803 4.803
Tc 0.000 0.000 0.000
Ni 3.202 3.202 3.202
```

ii:
## Sc2TcNi (PBE)

Data for an optimized crystal structure of Sc2TcNi.

Properties
magnetization	0.000	μB per cell
calculated volume	69	Å³ per cell

Cell and atoms, written as extended XYZ:
```
4
Lattice="2.917 0.000 0.000 0.000 4.321 0.000 0.000 0.000 5.453" Properties=species:S:1:pos:R:3 pbc="T T T"
Sc 0.000 0.000 0.000
Sc 1.458 2.160 1.887
Tc 0.000 0.000 2.816
Ni 1.458 2.160 4.517
```

What should be chosen as the most stable of them? Choose i.

i:
## Sc2TcNi (PBE)

Data for an optimized crystal structure of Sc2TcNi.

Properties
magnetization	0.755	μB per cell
calculated volume	66	Å³ per cell

Cell and atoms, written as extended XYZ:
```
4
Lattice="0.000 3.200 3.200 3.200 0.000 3.200 3.200 3.200 0.000" Properties=species:S:1:pos:R:3 pbc="T T T"
Sc 0.000 0.000 0.000
Sc 1.600 1.600 1.600
Tc 3.200 3.200 3.200
Ni 4.800 4.800 4.800
```

ii:
## Sc2TcNi (PBE)

Data for an optimized crystal structure of Sc2TcNi.

Properties
magnetization	0.000	μB per cell
calculated volume	73	Å³ per cell

Cell and atoms, written as extended XYZ:
```
4
Lattice="3.202 0.000 0.000 0.000 3.202 0.000 0.000 0.000 7.125" Properties=species:S:1:pos:R:3 pbc="T T T"
Sc 0.000 0.000 0.000
Sc 1.601 1.601 2.702
Tc 0.000 0.000 4.356
Ni 1.601 1.601 5.549
```

What should be chosen as the most stable of them? Choose ii.

i:
## ZrScTcNi (PBE)

Data for an optimized crystal structure of ZrScTcNi.

Properties
magnetization	0.000	μB per cell
calculated volume	68	Å³ per cell

Cell and atoms, written as extended XYZ:
```
4
Lattice="3.275 0.000 0.000 0.000 3.275 0.000 0.000 0.000 6.353" Properties=species:S:1:pos:R:3 pbc="T T T"
Zr 0.000 0.000 0.000
Sc 0.000 0.000 3.215
Tc 1.638 1.638 4.821
Ni 1.638 1.638 1.593
```

ii:
## ZrScTcNi (PBE)

Data for an optimized crystal structure of ZrScTcNi.

Properties
magnetization	0.000	μB per cell
calculated volume	68	Å³ per cell

Cell and atoms, written as extended XYZ:
```
4
Lattice="0.000 3.233 3.233 3.233 0.000 3.233 3.233 3.233 0.000" Properties=species:S:1:pos:R:3 pbc="T T T"
Zr 0.000 0.000 0.000
Sc 3.233 3.233 3.233
Tc 1.616 1.616 1.616
Ni 4.849 4.849 4.849
```

What should be chosen as the most stable of them? Choose i.

i:
## ScNiTe2 (PBE)

Data for an optimized crystal structure of ScNiTe2.

Properties
magnetization	0.000	μB per cell
calculated volume	91	Å³ per cell

Cell and atoms, written as extended XYZ:
```
4
Lattice="3.687 0.000 0.000 0.000 1.891 6.491 0.000 -1.891 6.491" Properties=species:S:1:pos:R:3 pbc="T T T"
Sc 0.000 0.000 0.000
Ni 1.844 0.000 2.544
Te 0.000 0.000 8.702
Te 1.844 0.000 5.169
```

ii:
## ScNiTe2 (PBE)

Data for an optimized crystal structure of ScNiTe2.

Properties
magnetization	2.000	μB per cell
calculated volume	237	Å³ per cell

Cell and atoms, written as extended XYZ:
```
8
Lattice="-3.102 3.102 6.154 3.102 -3.102 6.154 3.102 3.102 -6.154" Properties=species:S:1:pos:R:3 pbc="T T T"
Sc 0.000 0.000 0.000
Sc 0.000 3.102 3.077
Ni 3.102 0.000 3.077
Ni 0.000 0.000 6.154
Te 1.551 -1.313 4.615
Te 1.789 1.551 1.538
Te 1.551 4.415 -1.538
Te 1.313 1.551 7.692
```

What should be chosen as the most stable of them? Choose i.

i:
## ScNiTe2 (PBE)

Data for an optimized crystal structure of ScNiTe2.

Properties
magnetization	0.001	μB per cell
calculated volume	84	Å³ per cell

Cell and atoms, written as extended XYZ:
```
4
Lattice="3.563 0.000 0.000 0.000 3.563 0.000 0.000 0.000 6.648" Properties=species:S:1:pos:R:3 pbc="T T T"
Sc 0.000 0.000 0.000
Ni 0.000 0.000 3.324
Te 1.781 1.781 1.714
Te 1.781 1.781 4.934
```

ii:
## ScNiTe2 (PBE)

Data for an optimized crystal structure of ScNiTe2.

Properties
magnetization	0.000	μB per cell
calculated volume	102	Å³ per cell

Cell and atoms, written as extended XYZ:
```
4
Lattice="2.052 1.185 7.023 -2.052 1.185 7.023 0.000 -2.369 7.023" Properties=species:S:1:pos:R:3 pbc="T T T"
Sc 0.000 0.000 0.000
Ni 0.000 0.000 5.492
Te 0.000 0.000 11.842
Te 0.000 0.000 15.705
```

What should be chosen as the most stable of them? Choose ii.

i:
## ScNiTe2 (PBE)

Data for an optimized crystal structure of ScNiTe2.

Properties
magnetization	0.000	μB per cell
calculated volume	83	Å³ per cell

Cell and atoms, written as extended XYZ:
```
4
Lattice="3.394 -3.392 0.000 3.394 3.392 0.000 -0.009 0.000 3.591" Properties=species:S:1:pos:R:3 pbc="T T T"
Sc 0.000 0.000 0.000
Ni 3.394 0.000 0.000
Te 1.692 1.696 1.795
Te 1.692 -1.696 1.795
```

ii:
## ScNiTe2 (PBE)

Data for an optimized crystal structure of ScNiTe2.

Properties
magnetization	0.000	μB per cell
calculated volume	86	Å³ per cell

Cell and atoms, written as extended XYZ:
```
4
Lattice="-1.999 1.999 5.359 1.999 -1.999 5.359 1.999 1.999 -5.359" Properties=species:S:1:pos:R:3 pbc="T T T"
Sc 0.000 0.000 0.000
Ni 0.000 1.999 2.680
Te 1.999 0.000 2.680
Te 0.000 0.000 5.359
```

iii:
## ScNiTe2 (PBE)

Data for an optimized crystal structure of ScNiTe2.

Properties
magnetization	0.924	μB per cell
calculated volume	92	Å³ per cell

Cell and atoms, written as extended XYZ:
```
4
Lattice="2.031 1.173 6.465 -2.031 1.173 6.465 0.000 -2.346 6.465" Properties=species:S:1:pos:R:3 pbc="T T T"
Sc 0.000 0.000 0.000
Ni 0.000 0.000 9.697
Te 0.000 0.000 4.686
Te 0.000 0.000 14.708
```

What should be chosen as the most stable of them? Choose iii.